[1]
VASP calculation (PBE) on a relaxed structure of SrLiGa.

Values from the calculation:
Energy of formation = -0.23 eV/atom
V = 83 Å³ per cell
Relative energy among the computed polymorphs = 90 meV per atom
Total magnetic moment = 0.000 μB/atom

```
3
Lattice="4.796 0.000 0.000 -2.398 4.153 0.000 0.000 0.000 4.155" Properties=species:S:1:pos:R:3 pbc="T T T"
Sr 0.000 0.000 0.000
Li 0.000 2.769 2.078
Ga 2.398 1.384 2.078
```

***

[2]
VASP calculation (PBE) on a relaxed structure of SrLi6Ga.

Values from the calculation:
Energy of formation = 0.02 eV/atom
V = 187 Å³ per cell
Total magnetic moment = 0.000 μB/atom

```
8
Lattice="5.098 0.000 0.000 0.000 5.098 0.000 0.000 0.000 7.199" Properties=species:S:1:pos:R:3 pbc="T T T"
Sr 0.000 0.000 0.000
Li 0.000 2.549 2.388
Li 0.000 2.549 4.811
Li 2.549 0.000 2.388
Li 2.549 0.000 4.811
Li 2.549 2.549 1.424
Li 2.549 2.549 5.775
Ga 0.000 0.000 3.600
```

***

[3]
VASP calculation (PBE) on a relaxed structure of SrLi3Ga2.

Values from the calculation:
Energy of formation = -0.24 eV/atom
V = 401 Å³ per cell
Relative energy among the computed polymorphs = 0 meV per atom
Total magnetic moment = 0.000 μB/atom

```
18
Lattice="10.203 0.000 0.000 -5.101 8.836 0.000 0.000 0.000 4.449" Properties=species:S:1:pos:R:3 pbc="T T T"
Sr 0.000 0.000 0.000
Sr 0.000 5.890 2.225
Sr 5.101 2.945 2.225
Li -1.478 2.560 2.225
Li -2.551 4.418 0.000
Li -3.623 6.276 2.225
Li 2.956 0.000 2.225
Li 1.478 2.560 2.225
Li 5.101 0.000 0.000
Li 2.551 4.418 0.000
Li 7.246 0.000 2.225
Li 3.623 6.276 2.225
Ga 0.000 3.241 0.000
Ga -2.295 7.215 0.000
Ga 2.807 1.620 0.000
Ga 2.295 7.215 0.000
Ga 7.396 1.620 0.000
Ga 5.101 5.595 0.000
```

***

[4]
VASP calculation (PBE) on a relaxed structure of SrLi8Ga4.

Values from the calculation:
Energy of formation = -0.25 eV/atom
V = 245 Å³ per cell
Total magnetic moment = 0.000 μB/atom

```
13
Lattice="-4.712 4.712 2.758 4.712 -4.712 2.758 4.712 4.712 -2.758" Properties=species:S:1:pos:R:3 pbc="T T T"
Sr 0.000 0.000 0.000
Li 3.235 0.000 0.000
Li 6.189 0.000 0.000
Li 4.712 2.533 0.000
Li 0.000 3.235 0.000
Li 2.533 4.712 0.000
Li 2.180 0.000 2.758
Li 0.000 6.189 0.000
Li 0.000 2.180 2.758
Ga 2.356 2.356 -1.379
Ga 2.356 -2.356 1.379
Ga -2.356 2.356 1.379
Ga 2.356 2.356 1.379
```

***

[5]
VASP calculation (PBE) on a relaxed structure of Sr2LiGa2.

Values from the calculation:
Energy of formation = -0.29 eV/atom
V = 290 Å³ per cell
Relative energy among the computed polymorphs = 18 meV per atom
Total magnetic moment = 0.000 μB/atom

```
10
Lattice="5.314 -3.131 0.000 5.314 3.131 0.000 -1.990 0.000 8.722" Properties=species:S:1:pos:R:3 pbc="T T T"
Sr 2.049 2.186 7.442
Sr 5.593 2.186 5.641
Sr 3.044 -2.186 3.081
Sr 6.588 -2.186 1.280
Li 4.816 0.709 2.180
Li 3.821 -0.709 6.541
Ga 2.828 0.923 4.332
Ga 6.804 0.923 0.029
Ga 1.834 -0.923 8.693
Ga 5.809 -0.923 4.390
```

***

[6]
VASP calculation (PBE) on a relaxed structure of SrLiGa.

Values from the calculation:
Energy of formation = -0.32 eV/atom
V = 160 Å³ per cell
Relative energy among the computed polymorphs = 0 meV per atom
Total magnetic moment = 0.000 μB/atom

```
6
Lattice="-2.371 2.371 7.113 2.371 -2.371 7.113 2.371 2.371 -7.113" Properties=species:S:1:pos:R:3 pbc="T T T"
Sr 0.000 0.000 2.432
Sr 0.000 0.000 11.795
Li 2.371 0.000 0.000
Li 0.000 2.371 0.000
Ga 0.000 0.000 5.794
Ga 0.000 0.000 8.433
```

***

[7]
VASP calculation (PBE) on a relaxed structure of SrLiGa3.

Values from the calculation:
Energy of formation = -0.14 eV/atom
V = 112 Å³ per cell
Relative energy among the computed polymorphs = 220 meV per atom
Total magnetic moment = 0.000 μB/atom

```
5
Lattice="4.818 0.000 0.000 0.000 4.818 0.000 0.000 0.000 4.818" Properties=species:S:1:pos:R:3 pbc="T T T"
Sr 0.000 0.000 0.000
Li 2.409 2.409 2.409
Ga 0.000 2.409 2.409
Ga 2.409 0.000 2.409
Ga 2.409 2.409 0.000
```

***

[8]
VASP calculation (PBE) on a relaxed structure of SrLi2Ga.

Values from the calculation:
Energy of formation = -0.03 eV/atom
V = 224 Å³ per cell
Total magnetic moment = 0.000 μB/atom

```
8
Lattice="-2.419 2.419 9.554 2.419 -2.419 9.554 2.419 2.419 -9.554" Properties=species:S:1:pos:R:3 pbc="T T T"
Sr 0.000 0.000 0.000
Sr 0.000 2.419 4.777
Li 1.210 -0.270 7.165
Li 2.149 1.210 2.388
Li 1.210 2.689 -2.388
Li 0.270 1.210 11.942
Ga 2.419 0.000 4.777
Ga 0.000 0.000 9.554
```

***

[9]
VASP calculation (PBE) on a relaxed structure of Sr2Li15Ga2.

Values from the calculation:
Energy of formation = -0.06 eV/atom
V = 417 Å³ per cell
Total magnetic moment = 0.000 μB/atom

```
19
Lattice="5.068 2.926 4.684 -5.068 2.926 4.684 0.000 -5.852 4.684" Properties=species:S:1:pos:R:3 pbc="T T T"
Sr 0.000 0.000 2.211
Sr 0.000 0.000 11.841
Li -2.534 -1.463 4.684
Li 0.000 -2.739 4.364
Li -2.372 1.370 4.364
Li -1.313 -2.274 7.026
Li -2.625 0.000 7.026
Li -2.372 -1.370 9.688
Li -2.534 1.463 9.368
Li 1.313 -2.274 7.026
Li 0.000 2.926 4.684
Li -1.313 2.274 7.026
Li 2.372 1.370 4.364
Li 2.625 0.000 7.026
Li 1.313 2.274 7.026
Li 2.372 -1.370 9.688
Li 0.000 2.739 9.688
Ga 0.000 0.000 5.611
Ga 0.000 0.000 8.441
```

***

[10]
VASP calculation (PBE) on a relaxed structure of SrLiGa2.

Values from the calculation:
Energy of formation = -0.23 eV/atom
V = 93 Å³ per cell
Relative energy among the computed polymorphs = 164 meV per atom
Total magnetic moment = 0.000 μB/atom

```
4
Lattice="0.000 3.599 3.599 3.599 0.000 3.599 3.599 3.599 0.000" Properties=species:S:1:pos:R:3 pbc="T T T"
Sr 0.000 0.000 0.000
Li 3.599 3.599 3.599
Ga 1.799 1.799 1.799
Ga 5.398 5.398 5.398
```

***

[11]
VASP calculation (PBE) on a relaxed structure of SrLi3Ga.

Values from the calculation:
Energy of formation = -0.10 eV/atom
V = 126 Å³ per cell
Relative energy among the computed polymorphs = 35 meV per atom
Total magnetic moment = 0.000 μB/atom

```
5
Lattice="5.010 0.000 0.000 0.000 5.010 0.000 0.000 0.000 5.010" Properties=species:S:1:pos:R:3 pbc="T T T"
Sr 0.000 0.000 0.000
Li 0.000 2.505 2.505
Li 2.505 0.000 2.505
Li 2.505 2.505 0.000
Ga 2.505 2.505 2.505
```

***

[12]
VASP calculation (PBE) on a relaxed structure of Sr2LiGa2.

Values from the calculation:
Energy of formation = -0.17 eV/atom
V = 159 Å³ per cell
Relative energy among the computed polymorphs = 137 meV per atom
Total magnetic moment = 0.000 μB/atom

```
5
Lattice="-3.142 3.142 4.019 3.142 -3.142 4.019 3.142 3.142 -4.019" Properties=species:S:1:pos:R:3 pbc="T T T"
Sr 3.142 0.000 2.009
Sr 0.000 3.142 2.009
Li 0.000 0.000 0.000
Ga 0.000 0.000 2.801
Ga 0.000 0.000 5.237
```

***

Please write out number 1 again, unchanged.
VASP calculation (PBE) on a relaxed structure of SrLiGa.

Values from the calculation:
Energy of formation = -0.23 eV/atom
V = 83 Å³ per cell
Relative energy among the computed polymorphs = 90 meV per atom
Total magnetic moment = 0.000 μB/atom

```
3
Lattice="4.796 0.000 0.000 -2.398 4.153 0.000 0.000 0.000 4.155" Properties=species:S:1:pos:R:3 pbc="T T T"
Sr 0.000 0.000 0.000
Li 0.000 2.769 2.078
Ga 2.398 1.384 2.078
```

***

Which formula does entry 4 have? SrLi8Ga4

***

Which value of total magnetic moment does entry 1 give? 0.000 μB/atom

***

What did the fifth record say?
VASP calculation (PBE) on a relaxed structure of Sr2LiGa2.

Values from the calculation:
Energy of formation = -0.29 eV/atom
V = 290 Å³ per cell
Relative energy among the computed polymorphs = 18 meV per atom
Total magnetic moment = 0.000 μB/atom

```
10
Lattice="5.314 -3.131 0.000 5.314 3.131 0.000 -1.990 0.000 8.722" Properties=species:S:1:pos:R:3 pbc="T T T"
Sr 2.049 2.186 7.442
Sr 5.593 2.186 5.641
Sr 3.044 -2.186 3.081
Sr 6.588 -2.186 1.280
Li 4.816 0.709 2.180
Li 3.821 -0.709 6.541
Ga 2.828 0.923 4.332
Ga 6.804 0.923 0.029
Ga 1.834 -0.923 8.693
Ga 5.809 -0.923 4.390
```